VASP calculation (PBE-GGA) on crystalline KBe2Ir at its relaxed geometry.

abc: 4.418 4.418 4.418
angles: 60.00 60.00 60.00
Positions (direct):
K 0.000 0.000 0.000
Be 0.250 0.250 0.250
Be 0.750 0.750 0.750
Ir 0.500 0.500 0.500

Summary:
The space group is Fm-3m. As for the total energy: -13.91 eV for the cell shown. Its crystal system is cubic. For the energy above the most stable polymorph in this dataset, the calculation gives 944 meV/atom.